# YZnRh2 PBE relaxed
# Energy of formation from the pure elements: -0.499 eV per atom
data_YZnRh2
_cell_length_a 3.9080
_cell_length_b 3.9080
_cell_length_c 8.9286
_cell_angle_alpha 90.00
_cell_angle_beta 90.00
_cell_angle_gamma 90.00
_symmetry_space_group_name_H-M 'I -4 m 2'
_symmetry_Int_Tables_number 119
_symmetry_space_group_name_Hall 'I -4 -2'
loop_
_atom_site_label
_atom_site_type_symbol
_atom_site_fract_x
_atom_site_fract_y
_atom_site_fract_z
_atom_site_occupancy
Y1 Y 0.0000 0.0000 0.0000 1
Zn1 Zn 0.0000 0.5000 0.7500 1
Rh1 Rh 0.0000 0.0000 0.5000 1
Rh2 Rh 0.0000 0.5000 0.2500 1